(1)
Material: NaLuNO
Method: DFT, PBE-GGA
State: optimized geometry

a = 3.6551 Å, b = 4.6179 Å, c = 7.2749 Å
α = 90.00°, β = 90.00°, γ = 90.00°
Last column: nearest neighbours and their distance in Å.
Element x y z (fractional)
O (0.5000, 0.4385, 0.1816)  2 Lu 2.12, 3 Na 2.30-2.33
Lu (0.0000, 0.9384, 0.6720)  2 O 2.12, 3 N 2.24-2.32
Na (0.5000, 0.4386, 0.8651)  3 O 2.30-2.33, 2 N 2.47
Na (0.5000, 0.9386, 0.1349)  3 O 2.30-2.33, 2 N 2.47
O (0.5000, 0.9385, 0.8184)  2 Lu 2.12, 3 Na 2.30-2.33
Lu (0.0000, 0.4385, 0.3280)  2 O 2.12, 3 N 2.24-2.32
N (0.0000, 0.4385, 0.6363)  3 Lu 2.24-2.32, 2 Na 2.47
N (0.0000, 0.9384, 0.3637)  3 Lu 2.24-2.32, 2 Na 2.47

Output
* VASP energy: -6.250 eV per atom

(2)
Material: ErTm2Lu
Method: DFT, PBE-GGA
State: optimized geometry

a = 5.5000 Å, b = 7.0758 Å, c = 7.0758 Å
α = 120.00°, β = 90.00°, γ = 90.00°
Last column: nearest neighbours and their distance in Å.
Element x y z (fractional)
Lu (0.7500, 0.1665, 0.3328)  2 Lu 3.42, 6 Tm 3.42-3.54, 4 Er 3.43-3.54
Tm (0.2500, 0.8335, 0.1662)  4 Tm 3.42-3.55, 4 Lu 3.42-3.54, 4 Er 3.43-3.54
Er (0.2500, 0.3336, 0.6667)  8 Tm 3.43-3.54, 4 Lu 3.43-3.54
Tm (0.7500, 0.6672, 0.8334)  6 Tm 3.42-3.55, 4 Er 3.43-3.54, 2 Lu 3.53-3.54
Er (0.7500, 0.6667, 0.3336)  8 Tm 3.43-3.54, 4 Lu 3.43-3.54
Lu (0.2500, 0.3328, 0.1665)  2 Lu 3.42, 6 Tm 3.42-3.54, 4 Er 3.43-3.54
Tm (0.7500, 0.1662, 0.8335)  4 Tm 3.42-3.55, 4 Lu 3.42-3.54, 4 Er 3.43-3.54
Tm (0.2500, 0.8334, 0.6672)  6 Tm 3.42-3.55, 4 Er 3.43-3.54, 2 Lu 3.53-3.54

Output
* energy relative to the elements: 0.0 eV/f.u.
* VASP energy: -4.510 eV per atom

(3)
Material: HfUAs
Method: DFT, PBE-GGA
State: optimized geometry

a = 4.6509 Å, b = 4.6509 Å, c = 4.6509 Å
α = 60.00°, β = 60.00°, γ = 60.00°
Last column: nearest neighbours and their distance in Å.
Element x y z (fractional)
Hf (0.2500, 0.2500, 0.2500)  4 As 2.85
U (0.7500, 0.7500, 0.7500)  4 As 2.85
As (0.0000, 0.0000, 0.0000)  4 U 2.85, 4 Hf 2.85

Output
* VASP energy: -8.580 eV per atom

(4)
Material: NaLuNiSn
Method: DFT, PBE-GGA
State: optimized geometry

a = 4.9206 Å, b = 4.9206 Å, c = 4.9206 Å
α = 60.00°, β = 60.00°, γ = 60.00°
Last column: nearest neighbours and their distance in Å.
Element x y z (fractional)
Na (0.7500, 0.7500, 0.7500)  4 Sn 3.01, 4 Ni 3.01
Ni (0.5000, 0.5000, 0.5000)  4 Na 3.01, 4 Lu 3.01
Sn (0.0000, 0.0000, 0.0000)  4 Na 3.01, 4 Lu 3.01
Lu (0.2500, 0.2500, 0.2500)  4 Ni 3.01, 4 Sn 3.01

Output
* VASP energy: -3.936 eV per atom

(5)
Material: NaReTePb
Method: DFT, PBE-GGA
State: optimized geometry

a = 5.0458 Å, b = 5.0458 Å, c = 5.0458 Å
α = 60.00°, β = 60.00°, γ = 60.00°
Last column: nearest neighbours and their distance in Å.
Element x y z (fractional)
Re (0.5000, 0.5000, 0.5000)  4 Te 3.09, 4 Na 3.09
Pb (0.0000, 0.0000, 0.0000)  4 Na 3.09, 4 Te 3.09
Te (0.2500, 0.2500, 0.2500)  4 Re 3.09, 4 Pb 3.09
Na (0.7500, 0.7500, 0.7500)  4 Pb 3.09, 4 Re 3.09

Output
* VASP energy: -4.146 eV per atom

(6)
Material: RbAcCd
Method: DFT, PBE-GGA
State: optimized geometry

a = 5.8035 Å, b = 5.8035 Å, c = 5.8035 Å
α = 60.00°, β = 60.00°, γ = 60.00°
Last column: nearest neighbours and their distance in Å.
Element x y z (fractional)
Cd (0.2500, 0.2500, 0.2500)  4 Ac 3.55
Ac (0.0000, 0.0000, 0.0000)  4 Rb 3.55, 4 Cd 3.55
Rb (0.7500, 0.7500, 0.7500)  4 Ac 3.55

Output
* VASP energy: -1.404 eV per atom

(7)
Material: CsK3Bi2Au2
Method: DFT, PBE-GGA
State: optimized geometry

a = 6.7813 Å, b = 7.0023 Å, c = 6.9923 Å
α = 90.00°, β = 108.67°, γ = 90.00°
Last column: nearest neighbours and their distance in Å.
Element x y z (fractional)
K (0.1559, 0.0000, 0.4865)  4 Bi 3.66-3.96, 2 Au 3.67, 1 Cs 3.81
K (0.5068, 0.5000, 0.8488)  2 Au 3.55, 1 K 3.79, 2 Bi 3.82-3.85
Au (0.9907, 0.7457, 0.0025)  2 Bi 2.78
K (0.8499, 0.5000, 0.5144)  2 Au 3.67, 4 Bi 3.69-3.94, 1 K 3.79
Bi (0.2621, 0.5000, 0.2748)  2 Au 2.78
Bi (0.7452, 0.0000, 0.7215)  2 Au 2.78
Au (0.9907, 0.2543, 0.0025)  2 Bi 2.78
Cs (0.4987, 0.0000, 0.1490)  2 Au 3.72, 3 K 3.81-4.09, 4 Bi 3.81-4.06

Output
* VASP energy: -2.780 eV per atom

(8)
Material: SmYSc2Sb2
Method: DFT, PBE-GGA
State: optimized geometry

a = 8.7546 Å, b = 8.7546 Å, c = 8.7546 Å
α = 151.04°, β = 151.04°, γ = 41.42°
Last column: nearest neighbours and their distance in Å.
Element x y z (fractional)
Sb (0.1293, 0.1293, 0.0000)  4 Sc 3.04, 1 Sm 3.18, 4 Y 3.19
Sc (0.5003, 0.0003, 0.5000)  4 Sb 3.04-3.05, 4 Sc 3.10
Y (0.6759, 0.6759, 0.0000)  5 Sb 3.19
Sm (0.3236, 0.3236, 0.0000)  5 Sb 3.18-3.19
Sb (0.8706, 0.8706, 0.0000)  4 Sc 3.05, 1 Y 3.19, 4 Sm 3.19
Sc (0.0003, 0.5003, 0.5000)  4 Sb 3.04-3.05, 4 Sc 3.10

Output
* VASP energy: -6.204 eV per atom

(9)
Material: ZnPdSeO
Method: DFT, PBE-GGA
State: optimized geometry

a = 3.9268 Å, b = 3.9268 Å, c = 7.9550 Å
α = 90.00°, β = 90.00°, γ = 90.00°
Last column: nearest neighbours and their distance in Å.
Element x y z (fractional)
Se (0.2500, 0.2500, 0.2954)  1 O 1.69
O (0.2500, 0.2500, 0.5081)  1 Se 1.69
Se (0.7500, 0.7500, 0.7046)  1 O 1.69
Zn (0.2500, 0.7500, 0.0000)  4 Pd 2.63, 4 Zn 2.78
O (0.7500, 0.7500, 0.4919)  1 Se 1.69
Zn (0.7500, 0.2500, 0.0000)  4 Pd 2.63, 4 Zn 2.78
Pd (0.7500, 0.7500, 0.2199)  1 O 2.16
Pd (0.2500, 0.2500, 0.7801)  1 O 2.16

Output
* VASP energy: -3.912 eV per atom

(10)
Material: Nb2Ga2NiPd
Method: DFT, PBE-GGA
State: optimized geometry

a = 7.2395 Å, b = 4.1609 Å, c = 13.8267 Å
α = 90.00°, β = 99.70°, γ = 90.00°
Last column: nearest neighbours and their distance in Å.
Element x y z (fractional)
Ga (0.5536, 0.0000, 0.6836)  2 Ni 2.49-2.52, 2 Pd 2.59
Ni (0.2466, 0.0000, 0.7470)  4 Nb 2.49-2.51, 4 Ga 2.52-2.54
Nb (0.9410, 0.5000, 0.3216)  1 Ni 2.47, 3 Pd 2.57-2.58
Ga (0.3058, 0.0000, 0.9331)  2 Ni 2.52-2.54, 2 Pd 2.58, 1 Nb 2.82
Ni (0.0009, 0.5000, 0.5025)  4 Nb 2.47-2.55, 4 Ga 2.47-2.52
Nb (0.4408, 0.0000, 0.3208)  1 Ni 2.46, 3 Pd 2.59
Pd (0.7533, 0.0000, 0.2537)  4 Nb 2.57-2.63, 4 Ga 2.59-2.61
Pd (0.7498, 0.5000, 0.7485)  4 Ga 2.57-2.59, 4 Nb 2.60-2.62
Nb (0.1767, 0.5000, 0.0581)  2 Ni 2.51, 2 Pd 2.62-2.65
Nb (0.1878, 0.0000, 0.5631)  4 Ni 2.51-2.55
Ga (0.3134, 0.5000, 0.4450)  3 Ni 2.52-2.53, 1 Pd 2.62
Ni (0.0009, 0.0000, 0.9980)  4 Nb 2.49-2.51, 4 Ga 2.52-2.53
Nb (0.4228, 0.5000, 0.8054)  2 Ni 2.50, 2 Pd 2.61-2.62
Ga (0.8165, 0.0000, 0.4456)  3 Ni 2.52-2.54, 1 Pd 2.61
Ga (0.5616, 0.5000, 0.1864)  4 Pd 2.57-2.59
Ga (0.0654, 0.5000, 0.6840)  3 Ni 2.47-2.53, 1 Pd 2.59
Nb (0.9492, 0.0000, 0.8145)  2 Ni 2.49-2.50, 2 Pd 2.61
Nb (0.6990, 0.0000, 0.0612)  1 Ni 2.49, 3 Pd 2.60-2.63
Pd (0.2499, 0.5000, 0.2525)  4 Ga 2.57-2.62, 4 Nb 2.58-2.65
Ni (0.4994, 0.0000, 0.5010)  4 Nb 2.46-2.55, 4 Ga 2.49-2.54
Ga (0.0630, 0.0000, 0.1829)  1 Ni 2.52, 3 Pd 2.58-2.59
Pd (0.4992, 0.5000, 0.9966)  4 Ga 2.58-2.59, 4 Nb 2.60-2.62
Nb (0.6842, 0.5000, 0.5577)  3 Ni 2.53-2.54, 1 Pd 2.60
Ga (0.8193, 0.5000, 0.9373)  2 Ni 2.53, 2 Pd 2.57-2.59

Output
* VASP energy: -6.474 eV per atom

(11)
Material: TbGeAsO
Method: DFT, PBE-GGA
State: optimized geometry

a = 4.0328 Å, b = 4.0328 Å, c = 9.4345 Å
α = 90.00°, β = 90.00°, γ = 90.00°
Last column: nearest neighbours and their distance in Å.
Element x y z (fractional)
O (0.0000, 0.0000, 0.0000)  4 Tb 2.28
As (0.5000, 0.0000, 0.7049)  4 Ge 2.79
As (0.0000, 0.5000, 0.2951)  4 Ge 2.79
Tb (0.5000, 0.0000, 0.1121)  4 O 2.28
O (0.5000, 0.5000, 0.0000)  4 Tb 2.28
Tb (0.0000, 0.5000, 0.8879)  4 O 2.28
Ge (0.0000, 0.0000, 0.5000)  4 As 2.79, 4 Ge 2.85
Ge (0.5000, 0.5000, 0.5000)  4 As 2.79, 4 Ge 2.85

Output
* VASP energy: -6.206 eV per atom

Please write out number 6 again, unchanged.
Material: RbAcCd
Method: DFT, PBE-GGA
State: optimized geometry

a = 5.8035 Å, b = 5.8035 Å, c = 5.8035 Å
α = 60.00°, β = 60.00°, γ = 60.00°
Last column: nearest neighbours and their distance in Å.
Element x y z (fractional)
Cd (0.2500, 0.2500, 0.2500)  4 Ac 3.55
Ac (0.0000, 0.0000, 0.0000)  4 Rb 3.55, 4 Cd 3.55
Rb (0.7500, 0.7500, 0.7500)  4 Ac 3.55

Output
* VASP energy: -1.404 eV per atom